Entry 1:
{
  "formula": "CsK4Rb4",
  "functional": "GGA-PBE",
  "state": "optimized geometry",
  "mass_density_g_cm3": 1.4,
  "formation_energy_ev_per_atom": 0.01,
  "sg": "I4/mmm",
  "n_ef_per_ev_atom": 0.822,
  "cell": [[6.7954, 0.0000, 2.3013], [3.3977, 10.3142, 1.1507], [0.0893, 0.0000, 10.9199]],
  "species": ["Rb", "Rb", "Rb", "Rb", "Cs", "K", "K", "K", "K"],
  "fractional_positions": [[0.6720, 0.6560, 0.0001], [0.6721, 0.9999, 0.6560], [0.3279, 0.0001, 0.3440], [0.3280, 0.3440, 0.9999], [0.0000, 0.0000, 0.0000], [0.0000, 0.6556, 0.3443], [0.0000, 0.3444, 0.6557], [0.3443, 0.6557, 0.6556], [0.6557, 0.3443, 0.3444]]
}



Entry 2:
{
  "formula": "CsK4Rb2",
  "functional": "GGA-PBE",
  "state": "optimized geometry",
  "mass_density_g_cm3": 1.2,
  "e_above_lowest_polymorph_ev_per_atom": 0.0306,
  "formation_energy_ev_per_atom": 0.05,
  "sg": "P1",
  "n_ef_per_ev_atom": 0.752,
  "cell": [[11.3174, 0.6897, 2.6047], [-0.4571, 13.5110, -1.2305], [-3.5402, -8.1959, 7.9397]],
  "species": ["Cs", "Cs", "K", "K", "K", "K", "K", "K", "K", "K", "Rb", "Rb", "Rb", "Rb"],
  "fractional_positions": [[0.1643, 0.1503, 0.0016], [0.0859, 0.5989, 0.4985], [0.8627, 0.6792, 0.8185], [0.3873, 0.0724, 0.6825], [0.8745, 0.1358, 0.2581], [0.2493, 0.9466, 0.1901], [0.7584, 0.9523, 0.7023], [0.4914, 0.7986, 0.7978], [0.3744, 0.6146, 0.2430], [0.0008, 0.8040, 0.3111], [0.1256, 0.3758, 0.7503], [0.6251, 0.3755, 0.2502], [0.6244, 0.8727, 0.2479], [0.6260, 0.3735, 0.7480]]
}



Entry 3:
{
  "formula": "Cs8K6Rb",
  "functional": "GGA-PBE",
  "state": "optimized geometry",
  "mass_density_g_cm3": 1.5,
  "formation_energy_ev_per_atom": 0.04,
  "sg": "R-3",
  "n_ef_per_ev_atom": 0.937,
  "cell": [[-3.8192, 11.0353, 7.0747], [3.0039, 0.9699, 13.2835], [8.1850, 8.3585, 4.5556]],
  "species": ["K", "K", "K", "K", "K", "K", "Cs", "Cs", "Cs", "Cs", "Cs", "Cs", "Cs", "Cs", "Rb"],
  "fractional_positions": [[0.0374, 0.7245, 0.8752], [0.3629, 0.0374, 0.8752], [0.6371, 0.9626, 0.1248], [0.7245, 0.3629, 0.8752], [0.2755, 0.6371, 0.1248], [0.9626, 0.2755, 0.1248], [0.9037, 0.5045, 0.3633], [0.6475, 0.6475, 0.0575], [0.4955, 0.7715, 0.6367], [0.5045, 0.2285, 0.3633], [0.7715, 0.0963, 0.6367], [0.3525, 0.3525, 0.9425], [0.2285, 0.9037, 0.3633], [0.0963, 0.4955, 0.6367], [0.0000, 0.0000, 0.0000]]
}



Entry 4:
{
  "formula": "CsK2Rb6",
  "functional": "GGA-PBE",
  "state": "optimized geometry",
  "mass_density_g_cm3": 1.5,
  "e_above_lowest_polymorph_ev_per_atom": 0.0000,
  "formation_energy_ev_per_atom": 0.01,
  "sg": "P2_1/c",
  "n_ef_per_ev_atom": 0.759,
  "cell": [[-3.1290, 6.3944, -1.2708], [-10.9791, -3.5090, 9.3759], [7.7034, 5.9630, 11.2523]],
  "species": ["K", "K", "K", "K", "Rb", "Rb", "Rb", "Rb", "Rb", "Rb", "Rb", "Rb", "Rb", "Rb", "Rb", "Rb", "Cs", "Cs"],
  "fractional_positions": [[0.4998, 0.1662, 0.3246], [0.5002, 0.8338, 0.6754], [0.0002, 0.6662, 0.1754], [0.9998, 0.3338, 0.8246], [0.5017, 0.5042, 0.6656], [0.0017, 0.9958, 0.1656], [0.5016, 0.8262, 0.3348], [0.0016, 0.6738, 0.8348], [0.4986, 0.1660, 0.9961], [0.4984, 0.1738, 0.6652], [0.0014, 0.6660, 0.5039], [0.9984, 0.3262, 0.1652], [0.5014, 0.8340, 0.0039], [0.4983, 0.4958, 0.3344], [0.9986, 0.3340, 0.4961], [0.9983, 0.0042, 0.8344], [0.0000, 0.0000, 0.5000], [0.5000, 0.5000, 0.0000]]
}



Entry 5:
{
  "formula": "Cs3K2Rb7",
  "functional": "GGA-PBE",
  "state": "optimized geometry",
  "mass_density_g_cm3": 1.6,
  "e_above_lowest_polymorph_ev_per_atom": 0.0045,
  "formation_energy_ev_per_atom": 0.02,
  "sg": "P2/m",
  "n_ef_per_ev_atom": 0.926,
  "cell": [[5.1842, 0.0000, 0.0000], [0.0000, 8.2791, 0.0456], [0.0000, -3.9558, 26.5344]],
  "species": ["Rb", "Rb", "Rb", "Rb", "Rb", "Rb", "Rb", "K", "K", "Cs", "Cs", "Cs"],
  "fractional_positions": [[0.5000, 0.7312, 0.4614], [0.5000, 0.1050, 0.1712], [0.0000, 0.0000, 0.0000], [0.0000, 0.3997, 0.8461], [0.0000, 0.6003, 0.1539], [0.5000, 0.8950, 0.8288], [0.5000, 0.2688, 0.5386], [0.5000, 0.6460, 0.2945], [0.5000, 0.3540, 0.7055], [0.5000, 0.5000, 0.0000], [0.0000, 0.1758, 0.3556], [0.0000, 0.8242, 0.6444]]
}



Entry 6:
{
  "formula": "Cs2KRb9",
  "functional": "GGA-PBE",
  "state": "optimized geometry",
  "mass_density_g_cm3": 1.6,
  "formation_energy_ev_per_atom": 0.00,
  "sg": "P4/mmm",
  "n_ef_per_ev_atom": 0.919,
  "cell": [[7.2093, 0.0000, 0.0000], [0.0000, 7.2093, 0.0000], [0.0000, 0.0000, 21.5445]],
  "species": ["Rb", "Rb", "Rb", "Rb", "Rb", "Rb", "Rb", "Rb", "Rb", "Cs", "Cs", "K"],
  "fractional_positions": [[0.5000, 0.0000, 0.8441], [0.0000, 0.5000, 0.1559], [0.5000, 0.0000, 0.1559], [0.5000, 0.0000, 0.5000], [0.5000, 0.5000, 0.3290], [0.0000, 0.5000, 0.5000], [0.5000, 0.5000, 0.0000], [0.5000, 0.5000, 0.6710], [0.0000, 0.5000, 0.8441], [0.0000, 0.0000, 0.3281], [0.0000, 0.0000, 0.6719], [0.0000, 0.0000, 0.0000]]
}



Entry 7:
{
  "formula": "Cs3K2Rb5",
  "functional": "GGA-PBE",
  "state": "optimized geometry",
  "mass_density_g_cm3": 1.5,
  "e_above_lowest_polymorph_ev_per_atom": 0.0310,
  "formation_energy_ev_per_atom": 0.05,
  "sg": "Ibam",
  "n_ef_per_ev_atom": 0.839,
  "cell": [[-2.4586, 2.1663, -8.5184], [-10.6806, -10.5617, -4.4927], [-9.2914, 12.5893, 0.9938]],
  "species": ["Rb", "Rb", "Rb", "Rb", "Rb", "Rb", "Rb", "Rb", "Rb", "Rb", "Cs", "Cs", "Cs", "Cs", "Cs", "Cs", "K", "K", "K", "K"],
  "fractional_positions": [[0.4962, 0.2538, 0.2538], [0.0038, 0.7462, 0.7462], [0.7500, 0.5000, 0.5000], [0.6133, 0.2251, 0.5483], [0.8867, 0.4517, 0.7749], [0.2500, 0.5000, 0.5000], [0.9962, 0.2538, 0.2538], [0.5038, 0.7462, 0.7462], [0.3867, 0.7749, 0.4517], [0.1133, 0.5483, 0.2251], [0.0948, 0.0995, 0.7110], [0.5948, 0.7110, 0.0995], [0.7500, 0.0000, 0.0000], [0.9052, 0.9005, 0.2890], [0.2500, 0.0000, 0.0000], [0.4052, 0.2890, 0.9005], [0.7898, 0.3727, 0.0478], [0.2898, 0.0478, 0.3727], [0.7102, 0.9522, 0.6273], [0.2102, 0.6273, 0.9522]]
}



Entry 8:
{
  "formula": "Cs2K5Rb",
  "functional": "GGA-PBE",
  "state": "optimized geometry",
  "mass_density_g_cm3": 1.3,
  "e_above_lowest_polymorph_ev_per_atom": 0.0000,
  "formation_energy_ev_per_atom": 0.01,
  "sg": "I4/mmm",
  "n_ef_per_ev_atom": 0.726,
  "cell": [[-3.5673, -3.3443, -5.1707], [2.6340, -6.2300, 2.2122], [-9.9413, 3.2821, 9.6333]],
  "species": ["K", "K", "K", "K", "K", "Cs", "Cs", "Rb"],
  "fractional_positions": [[0.1150, 0.6150, 0.2300], [0.5000, 0.5000, 0.0000], [0.6150, 0.1150, 0.2300], [0.3850, 0.8850, 0.7700], [0.8850, 0.3850, 0.7700], [0.7494, 0.7494, 0.4988], [0.2506, 0.2506, 0.5012], [0.0000, 0.0000, 0.0000]]
}



Entry 9:
{
  "formula": "CsKRb",
  "functional": "GGA-PBE",
  "state": "optimized geometry",
  "mass_density_g_cm3": 1.5,
  "e_above_lowest_polymorph_ev_per_atom": 0.0095,
  "formation_energy_ev_per_atom": 0.01,
  "sg": "P-1",
  "n_ef_per_ev_atom": 0.991,
  "cell": [[5.9774, 0.0224, -0.0834], [2.9544, 3.9416, -0.1350], [-8.4286, -3.5503, 23.7213]],
  "species": ["K", "K", "Cs", "Cs", "Rb", "Rb"],
  "fractional_positions": [[0.0326, 0.7503, 0.2626], [0.9674, 0.2497, 0.7374], [0.3620, 0.5873, 0.0954], [0.6380, 0.4127, 0.9046], [0.6737, 0.9168, 0.4171], [0.3263, 0.0832, 0.5829]]
}



Entry 10:
{
  "formula": "Cs3K2Rb7",
  "functional": "GGA-PBE",
  "state": "optimized geometry",
  "mass_density_g_cm3": 1.6,
  "e_above_lowest_polymorph_ev_per_atom": 0.0000,
  "formation_energy_ev_per_atom": 0.02,
  "sg": "P2/m",
  "n_ef_per_ev_atom": 0.861,
  "cell": [[-2.2254, 2.8066, -3.5579], [-4.3144, -7.2084, -2.9876], [-20.8555, 1.8330, 14.4908]],
  "species": ["Rb", "Rb", "Rb", "Rb", "Rb", "Rb", "Rb", "K", "K", "Cs", "Cs", "Cs"],
  "fractional_positions": [[0.0000, 0.4604, 0.1755], [0.5000, 0.7454, 0.5020], [0.5000, 0.2546, 0.4980], [0.0000, 0.0000, 0.0000], [0.0000, 0.5396, 0.8245], [0.5000, 0.0419, 0.8337], [0.5000, 0.9581, 0.1663], [0.5000, 0.4363, 0.6704], [0.5000, 0.5637, 0.3296], [0.0000, 0.9464, 0.6606], [0.5000, 0.5000, 0.0000], [0.0000, 0.0536, 0.3394]]
}



Entry 11:
{
  "formula": "Cs2KRb6",
  "functional": "GGA-PBE",
  "state": "optimized geometry",
  "mass_density_g_cm3": 1.6,
  "e_above_lowest_polymorph_ev_per_atom": 0.0000,
  "formation_energy_ev_per_atom": 0.01,
  "sg": "C2/c",
  "n_ef_per_ev_atom": 0.932,
  "cell": [[-8.7124, 8.0110, -5.1878], [-10.5481, -4.3267, -7.5700], [-10.9601, 4.5441, 6.8202]],
  "species": ["K", "K", "Cs", "Cs", "Cs", "Cs", "Rb", "Rb", "Rb", "Rb", "Rb", "Rb", "Rb", "Rb", "Rb", "Rb", "Rb", "Rb"],
  "fractional_positions": [[0.7500, 0.6514, 0.3486], [0.2500, 0.3486, 0.6514], [0.0598, 0.2880, 0.0741], [0.4402, 0.9259, 0.7120], [0.9402, 0.7120, 0.9259], [0.5598, 0.0741, 0.2880], [0.6132, 0.0959, 0.8321], [0.9856, 0.6966, 0.5035], [0.8113, 0.1230, 0.4312], [0.1132, 0.8321, 0.0959], [0.4856, 0.5035, 0.6966], [0.3113, 0.4312, 0.1230], [0.8868, 0.1679, 0.9041], [0.3868, 0.9041, 0.1679], [0.5144, 0.4965, 0.3034], [0.0144, 0.3034, 0.4965], [0.1887, 0.8770, 0.5688], [0.6887, 0.5688, 0.8770]]
}



Entry 12:
{
  "formula": "Cs3K2Rb4",
  "functional": "GGA-PBE",
  "state": "optimized geometry",
  "mass_density_g_cm3": 1.6,
  "formation_energy_ev_per_atom": 0.01,
  "sg": "C2/m",
  "n_ef_per_ev_atom": 0.941,
  "cell": [[-7.0653, 3.6792, -1.4823], [1.1933, -3.7981, 7.0302], [5.3149, 12.5244, 5.7541]],
  "species": ["Rb", "Rb", "Rb", "Rb", "Cs", "Cs", "Cs", "K", "K"],
  "fractional_positions": [[0.6658, 0.3317, 0.1102], [0.0014, 0.0027, 0.6723], [0.9986, 0.9973, 0.3277], [0.3342, 0.6683, 0.8898], [0.0000, 0.0000, 0.0000], [0.3337, 0.6674, 0.5598], [0.6663, 0.3326, 0.4402], [0.3323, 0.6647, 0.2181], [0.6677, 0.3353, 0.7819]]
}